PrSm5Ag4: relaxed, GGA-PBE.

Summary:
Energy relative to the elements = -0.22 eV per atom
Symmetry = No. 123

```
data_PrSm5Ag4
_chemical_formula_sum 'Pr1 Sm5 Ag4'
_symmetry_space_group_name_H-M 'P 1'
_symmetry_Int_Tables_number 1
_cell_length_a 3.691
_cell_length_b 3.691
_cell_length_c 20.140
_cell_angle_alpha 90.00
_cell_angle_beta 90.00
_cell_angle_gamma 90.00
loop_
_symmetry_equiv_pos_as_xyz
'x,y,z'
loop_
_atom_site_label
_atom_site_type_symbol
_atom_site_fract_x
_atom_site_fract_y
_atom_site_fract_z
Sm1 Sm 0.500 0.500 0.313
Sm2 Sm 0.500 0.500 0.128
Sm3 Sm 0.500 0.500 0.687
Sm4 Sm 0.500 0.500 0.872
Sm5 Sm 0.500 0.500 0.500
Pr1 Pr 0.000 0.000 0.000
Ag1 Ag 0.000 0.000 0.221
Ag2 Ag 0.000 0.000 0.593
Ag3 Ag 0.000 0.000 0.407
Ag4 Ag 0.000 0.000 0.779
```